Material: DyY2Lu4Te2Pd2
Method: DFT, PBE
State: optimized geometry

Results
Raw total energy ... -5.613 eV per atom

extended XYZ file:
```
11
Lattice="-1.963 7.751 4.748 1.963 -7.751 4.748 1.963 7.751 -4.748" Properties=species:S:1:pos:R:3 pbc="T T T"
Dy 0.000 0.000 0.000
Y 0.000 5.508 2.474
Y 0.000 9.995 2.474
Lu 1.963 5.728 -0.818
Lu 1.963 2.825 1.174
Lu 0.000 2.023 3.930
Lu 0.000 4.926 5.921
Te 1.963 0.000 2.523
Te 0.000 0.000 6.250
Pd 1.963 -4.027 4.109
Pd 1.963 4.027 4.109
```


Material: PrDyLu6
Method: DFT, PBE
State: optimized geometry

Results
Energy of formation from the pure elements ... 154 meV per atom
Raw total energy ... -4.411 eV per atom

extended XYZ file:
```
8
Lattice="4.725 2.728 3.240 -4.725 2.728 3.240 0.000 -5.456 3.240" Properties=species:S:1:pos:R:3 pbc="T T T"
Pr 0.000 0.000 0.000
Dy 0.000 0.000 4.859
Lu -3.307 -0.304 4.041
Lu -1.390 -3.016 5.677
Lu 1.917 -2.712 4.041
Lu -1.917 2.712 5.677
Lu 1.390 3.016 4.041
Lu 3.307 0.304 5.677
```


Material: DyLuPt2
Method: DFT, PBE
State: optimized geometry

Results
E above lowest polymorph ... 0.00 eV per formula unit
Energy of formation from the pure elements ... -1315 meV per atom
Raw total energy ... -6.624 eV per atom

extended XYZ file:
```
8
Lattice="4.476 0.000 0.000 0.000 6.927 0.000 0.000 0.000 5.521" Properties=species:S:1:pos:R:3 pbc="T T T"
Dy 0.000 0.479 0.000
Dy 2.238 6.448 2.761
Lu 0.000 3.939 1.196
Lu 2.238 2.989 3.957
Pt 0.000 1.495 2.849
Pt 0.000 4.823 3.870
Pt 2.238 2.104 1.109
Pt 2.238 5.432 0.088
```


Material: DyLuPt2
Method: DFT, PBE
State: optimized geometry

Results
E above lowest polymorph ... 0.01 eV per formula unit
Energy of formation from the pure elements ... -1312 meV per atom
Raw total energy ... -6.621 eV per atom

extended XYZ file:
```
8
Lattice="5.525 0.000 0.000 0.000 4.470 0.000 -0.092 0.000 6.937" Properties=species:S:1:pos:R:3 pbc="T T T"
Dy 0.772 1.117 1.269
Dy 4.662 3.352 5.668
Lu 1.922 1.117 4.721
Lu 3.511 3.352 2.216
Pt 0.846 3.352 3.192
Pt 1.827 3.352 6.608
Pt 3.607 1.117 0.330
Pt 4.588 1.117 3.746
```


Material: DyLu3Pt4
Method: DFT, PBE
State: optimized geometry

Results
Energy of formation from the pure elements ... -1326 meV per atom
Raw total energy ... -6.626 eV per atom

extended XYZ file:
```
8
Lattice="5.513 0.000 0.000 0.000 4.449 0.000 -0.047 0.000 6.889" Properties=species:S:1:pos:R:3 pbc="T T T"
Dy 0.000 0.000 0.000
Lu 1.178 0.000 3.441
Lu 2.746 2.224 0.953
Lu 3.922 2.224 4.383
Pt 0.079 2.224 1.928
Pt 1.086 2.224 5.295
Pt 2.798 0.000 5.931
Pt 3.833 0.000 2.522
```


Material: Dy3LuPt4
Method: DFT, PBE
State: optimized geometry

Results
Energy of formation from the pure elements ... -1300 meV per atom
Raw total energy ... -6.619 eV per atom

extended XYZ file:
```
8
Lattice="5.542 0.000 0.000 0.000 4.490 0.000 -0.045 0.000 6.983" Properties=species:S:1:pos:R:3 pbc="T T T"
Dy 0.000 0.000 0.000
Dy 1.182 0.000 3.481
Dy 3.942 2.245 4.435
Lu 2.760 2.245 0.950
Pt 0.074 2.245 1.894
Pt 1.099 2.245 5.423
Pt 2.808 0.000 6.063
Pt 3.857 0.000 2.481
```


Material: DyLuPt2
Method: DFT, PBE
State: optimized geometry

Results
E above lowest polymorph ... 0.01 eV per formula unit
Energy of formation from the pure elements ... -1311 meV per atom
Raw total energy ... -6.620 eV per atom

extended XYZ file:
```
8
Lattice="4.472 0.000 0.000 0.000 5.523 0.000 0.000 0.000 6.939" Properties=species:S:1:pos:R:3 pbc="T T T"
Dy 0.000 0.600 0.000
Dy 0.000 4.923 3.469
Lu 2.236 2.162 4.419
Lu 2.236 3.360 0.950
Pt 0.000 2.254 2.521
Pt 0.000 3.269 5.991
Pt 2.236 0.527 1.907
Pt 2.236 4.996 5.377
```


Material: DyLuSn2Pt4
Method: DFT, PBE
State: optimized geometry

Results
Raw total energy ... -6.182 eV per atom

extended XYZ file:
```
8
Lattice="4.542 0.000 0.000 -2.271 3.934 0.000 0.000 0.000 9.033" Properties=species:S:1:pos:R:3 pbc="T T T"
Dy 0.000 0.000 0.000
Lu 0.000 2.623 4.516
Sn 2.271 1.311 2.272
Sn 2.271 1.311 6.760
Pt 0.000 0.000 3.100
Pt 0.000 0.000 5.932
Pt 0.000 2.623 1.462
Pt 0.000 2.623 7.570
```


Material: RbDyLu
Method: DFT, PBE
State: optimized geometry

Results
E above lowest polymorph ... 0.00 eV per formula unit
Raw total energy ... -2.117 eV per atom

extended XYZ file:
```
3
Lattice="0.000 4.183 4.183 4.183 0.000 4.183 4.183 4.183 0.000" Properties=species:S:1:pos:R:3 pbc="T T T"
Rb 0.000 0.000 0.000
Dy 4.183 4.183 4.183
Lu 6.274 6.274 6.274
```


Material: DyLuReSi2
Method: DFT, PBE
State: optimized geometry

Results
Raw total energy ... -7.159 eV per atom

extended XYZ file:
```
10
Lattice="5.371 -2.076 0.000 5.371 2.076 0.000 -4.680 0.000 8.758" Properties=species:S:1:pos:R:3 pbc="T T T"
Dy 1.499 0.000 0.983
Dy 4.562 0.000 7.776
Lu -3.090 0.000 5.931
Lu 9.151 0.000 2.827
Re -0.034 0.000 5.512
Re 6.095 0.000 3.246
Si 1.841 0.000 3.881
Si 4.762 0.000 1.090
Si 1.299 0.000 7.668
Si 4.220 0.000 4.878
```


Material: Dy2LuS3
Method: DFT, PBE
State: optimized geometry

Results
Raw total energy ... -6.306 eV per atom

extended XYZ file:
```
6
Lattice="3.863 0.000 0.000 -1.931 3.345 0.000 0.000 0.000 9.500" Properties=species:S:1:pos:R:3 pbc="T T T"
Dy 0.000 2.230 1.594
Dy 1.931 1.115 7.906
Lu 0.000 0.000 4.750
S 0.000 0.000 0.000
S 0.000 2.230 6.261
S 1.931 1.115 3.239
```


Material: DyLu2S3
Method: DFT, PBE
State: optimized geometry

Results
Raw total energy ... -6.253 eV per atom

extended XYZ file:
```
6
Lattice="3.827 0.000 0.000 -1.913 3.314 0.000 0.000 0.000 9.423" Properties=species:S:1:pos:R:3 pbc="T T T"
Dy 0.000 0.000 0.000
Lu 0.000 2.209 6.269
Lu 1.913 1.105 3.154
S 0.000 0.000 4.712
S 0.000 2.209 1.647
S 1.913 1.105 7.776
```


Among the records above, which one has the lowest raw total energy? DyLuReSi2


Copy entry 2 word for word.
Material: PrDyLu6
Method: DFT, PBE
State: optimized geometry

Results
Energy of formation from the pure elements ... 154 meV per atom
Raw total energy ... -4.411 eV per atom

extended XYZ file:
```
8
Lattice="4.725 2.728 3.240 -4.725 2.728 3.240 0.000 -5.456 3.240" Properties=species:S:1:pos:R:3 pbc="T T T"
Pr 0.000 0.000 0.000
Dy 0.000 0.000 4.859
Lu -3.307 -0.304 4.041
Lu -1.390 -3.016 5.677
Lu 1.917 -2.712 4.041
Lu -1.917 2.712 5.677
Lu 1.390 3.016 4.041
Lu 3.307 0.304 5.677
```


Which formula does entry 10 have? DyLuReSi2


Which of these has the highest raw total energy? RbDyLu